A geometry-optimized DyTmAl6 structure. Source: the Alexandria database, functional GGA-PBE.

abc: 6.1315 6.1315 4.7381
angles: 90.00 90.00 120.00
Space group P-6m2 (No. 187)
Symmetry-distinct sites (fractional):
Dy: 0.0000 0.0000 0.0000
Tm: 0.6667 0.3333 0.5000
Al: 0.0324 0.5162 0.0000
Al: 0.1840 0.3680 0.5000

Summary:
- ΔH_f (0 K): -0.409 eV per atom
- V: 154.29 Å³/f.u.
- Distance to the lowest polymorph of the same formula: 0 meV per atom
- Raw total energy: -4.351 eV/atom